Dy3HgPd3: relaxed, PBE-GGA.

## Properties
SG = P6_3/m
Size of the total moment = 0.00 μB/atom
Calculated formation energy = -0.68 eV/atom
V = 308.83 Å³/cell

Cell lengths 8.413, 8.413, 5.038 Å; angles 90.00, 90.00, 120.00 degrees
Element x y z (fractional)
Dy: 0.080 0.668 0.250
Dy: 0.332 0.412 0.250
Dy: 0.412 0.080 0.750
Dy: 0.588 0.920 0.250
Dy: 0.668 0.588 0.750
Dy: 0.920 0.332 0.750
Hg: 0.333 0.667 0.750
Hg: 0.667 0.333 0.250
Pd: 0.040 0.823 0.750
Pd: 0.177 0.217 0.750
Pd: 0.217 0.040 0.250
Pd: 0.783 0.960 0.750
Pd: 0.823 0.783 0.250
Pd: 0.960 0.177 0.250